Record 1
The following is a PBE calculation of a geometry-optimized MgGaP structure, from Alexandria.

abc: 3.627 15.456 4.175
angles: 90.00 90.00 90.00
Element x y z (fractional)
Mg1 0.000 0.679 0.250
Mg2 0.000 0.321 0.750
Mg3 0.500 0.179 0.250
Mg4 0.500 0.821 0.750
Ga1 0.000 0.456 0.250
Ga2 0.000 0.544 0.750
Ga3 0.500 0.956 0.250
Ga4 0.500 0.044 0.750
P1 0.000 0.849 0.250
P2 0.000 0.151 0.750
P3 0.500 0.349 0.250
P4 0.500 0.651 0.750

Calculated values
formation enthalpy at 0 K: -358.4 meV per atom
energy above the lowest structure with this stoichiometry: 0.01 eV/f.u.

Record 2
The following is a PBE calculation of a geometry-optimized MgGaP structure, from Alexandria.

abc: 3.789 8.650 3.592
angles: 90.00 90.00 90.00
Element x y z (fractional)
Mg1 0.000 0.637 0.000
Mg2 0.500 0.363 0.500
Ga1 0.000 0.055 0.000
Ga2 0.500 0.945 0.500
P1 0.000 0.326 0.000
P2 0.500 0.674 0.500

Calculated values
formation enthalpy at 0 K: -333.5 meV per atom
energy above the lowest structure with this stoichiometry: 0.09 eV/f.u.

Record 3
The following is a PBE calculation of a geometry-optimized Mg3GaP structure, from Alexandria.

abc: 4.946 4.946 4.946
angles: 90.00 90.00 90.00
Element x y z (fractional)
P1 0.500 0.500 0.500
Mg1 0.000 0.500 0.000
Mg2 0.000 0.000 0.500
Mg3 0.500 0.000 0.000
Ga1 0.000 0.000 0.000

Calculated values
formation enthalpy at 0 K: 363.1 meV per atom
energy above the lowest structure with this stoichiometry: 1.99 eV/f.u.

Record 4
The following is a PBE calculation of a geometry-optimized Mg3GaP structure, from Alexandria.

abc: 4.886 4.886 4.886
angles: 90.00 90.00 90.00
Element x y z (fractional)
P1 0.000 0.000 0.000
Mg1 0.000 0.500 0.000
Mg2 0.000 0.000 0.500
Mg3 0.500 0.000 0.000
Ga1 0.500 0.500 0.500

Calculated values
formation enthalpy at 0 K: -35.9 meV per atom
energy above the lowest structure with this stoichiometry: 0.00 eV/f.u.

Record 5
The following is a PBE calculation of a geometry-optimized MgGa3P structure, from Alexandria.

abc: 5.014 5.014 5.014
angles: 90.00 90.00 90.00
Element x y z (fractional)
P1 0.500 0.500 0.500
Mg1 0.000 0.000 0.000
Ga1 0.000 0.500 0.000
Ga2 0.000 0.000 0.500
Ga3 0.500 0.000 0.000

Calculated values
formation enthalpy at 0 K: 757.0 meV per atom
energy above the lowest structure with this stoichiometry: 2.44 eV/f.u.

Record 6
The following is a PBE calculation of a geometry-optimized Mg2Ga2P structure, from Alexandria.

abc: 6.738 6.738 4.213
angles: 90.00 90.00 90.00
Element x y z (fractional)
P1 0.000 0.000 0.000
P2 0.500 0.500 0.000
Mg1 0.168 0.668 0.500
Mg2 0.668 0.832 0.500
Mg3 0.832 0.332 0.500
Mg4 0.332 0.168 0.500
Ga1 0.363 0.863 0.000
Ga2 0.863 0.637 0.000
Ga3 0.637 0.137 0.000
Ga4 0.137 0.363 0.000

Calculated values
formation enthalpy at 0 K: -25.6 meV per atom

Record 7
The following is a PBE calculation of a geometry-optimized MgGaP structure, from Alexandria.

abc: 4.290 4.290 9.261
angles: 76.61 76.61 60.00
Element x y z (fractional)
Mg1 0.375 0.375 0.874
Mg2 0.625 0.625 0.126
P1 0.274 0.274 0.179
P2 0.726 0.726 0.821
Ga1 0.188 0.188 0.437
Ga2 0.812 0.812 0.563

Calculated values
formation enthalpy at 0 K: -322.8 meV per atom
energy above the lowest structure with this stoichiometry: 0.12 eV/f.u.

Record 8
The following is a PBE calculation of a geometry-optimized MgGaP structure, from Alexandria.

abc: 3.943 13.662 4.752
angles: 90.00 90.00 90.00
Element x y z (fractional)
Mg1 0.000 0.718 0.748
Mg2 0.000 0.282 0.248
Mg3 0.500 0.218 0.748
Mg4 0.500 0.782 0.248
Ga1 0.000 0.036 0.251
Ga2 0.000 0.964 0.751
Ga3 0.500 0.536 0.251
Ga4 0.500 0.464 0.751
P1 0.000 0.652 0.248
P2 0.000 0.348 0.748
P3 0.500 0.152 0.248
P4 0.500 0.848 0.748

Calculated values
formation enthalpy at 0 K: -362.6 meV per atom
energy above the lowest structure with this stoichiometry: 0.00 eV/f.u.

Record 9
The following is a PBE calculation of a geometry-optimized Mg2GaP2 structure, from Alexandria.

abc: 7.687 7.687 3.035
angles: 90.00 90.00 90.00
Element x y z (fractional)
P1 0.340 0.840 0.000
P2 0.840 0.660 0.000
P3 0.660 0.160 0.000
P4 0.160 0.340 0.000
Mg1 0.141 0.641 0.500
Mg2 0.641 0.859 0.500
Mg3 0.859 0.359 0.500
Mg4 0.359 0.141 0.500
Ga1 0.000 0.000 0.000
Ga2 0.500 0.500 0.000

Calculated values
formation enthalpy at 0 K: -223.9 meV per atom

Record 10
The following is a PBE calculation of a geometry-optimized MgGaPS2 structure, from Alexandria.

abc: 4.851 4.851 4.909
angles: 90.00 90.00 90.00
Last column: magnetic moment on the atom in μB.
Element x y z (fractional)
P1 0.000 0.000 0.500  0.14
S1 0.000 0.500 0.000  0.04
S2 0.500 0.000 0.000  0.04
Mg1 0.000 0.000 0.000  0.00
Ga1 0.500 0.500 0.500  0.01

Calculated values
formation energy (no corrections): 408 meV per atom
energy above the lowest structure with this stoichiometry: 0.70 eV/f.u.

Record 11
The following is a PBE calculation of a geometry-optimized MgGaPS2 structure, from Alexandria.

abc: 4.804 4.804 4.620
angles: 90.00 90.00 90.00
Last column: magnetic moment on the atom in μB.
Element x y z (fractional)
P1 0.000 0.000 0.500  0.29
S1 0.000 0.500 0.000  0.11
S2 0.500 0.000 0.000  0.11
Mg1 0.500 0.500 0.500  0.00
Ga1 0.000 0.000 0.000  0.00

Calculated values
formation energy (no corrections): 267 meV per atom
energy above the lowest structure with this stoichiometry: 0.00 eV/f.u.

Record 12
The following is a PBE calculation of a geometry-optimized SrMgGaP2 structure, from Alexandria.

abc: 5.277 6.847 6.781
angles: 104.42 90.00 90.00
Element x y z (fractional)
Sr1 0.218 0.500 0.750
Sr2 0.782 0.500 0.250
Mg1 0.509 0.000 0.250
Mg2 0.491 0.000 0.750
Ga1 0.000 0.000 0.000
Ga2 0.000 0.000 0.500
P1 0.720 0.745 0.923
P2 0.720 0.255 0.577
P3 0.280 0.745 0.423
P4 0.280 0.255 0.077

Calculated values
formation enthalpy at 0 K: -503.9 meV per atom

Record 13
The following is a PBE calculation of a geometry-optimized MgTi2GaP structure, from Alexandria.

abc: 4.772 4.674 4.772
angles: 90.00 90.00 90.00
Last column: magnetic moment on the atom in μB.
Element x y z (fractional)
P1 0.500 0.500 0.500  -0.07
Mg1 0.000 0.500 0.000  0.00
Ga1 0.000 0.000 0.000  -0.01
Ti1 0.000 0.000 0.500  0.81
Ti2 0.500 0.000 0.000  0.77

Calculated values
formation enthalpy at 0 K: 554.8 meV per atom

Record 14
The following is a PBE calculation of a geometry-optimized MgPa3Ga12 structure, from Alexandria.

abc: 4.288 4.288 16.906
angles: 90.00 90.00 90.00
Element x y z (fractional)
Mg1 0.000 0.000 0.000
Pa1 0.000 0.000 0.245
Pa2 0.000 0.000 0.500
Pa3 0.000 0.000 0.755
Ga1 0.500 0.500 0.000
Ga2 0.500 0.500 0.254
Ga3 0.500 0.500 0.500
Ga4 0.500 0.500 0.746
Ga5 0.500 0.000 0.116
Ga6 0.500 0.000 0.373
Ga7 0.500 0.000 0.627
Ga8 0.500 0.000 0.884
Ga9 0.000 0.500 0.116
Ga10 0.000 0.500 0.373
Ga11 0.000 0.500 0.627
Ga12 0.000 0.500 0.884

Calculated values
formation enthalpy at 0 K: -294.0 meV per atom

Record 15
The following is a PBE calculation of a geometry-optimized MgPa2Ga3 structure, from Alexandria.

abc: 5.431 5.431 5.431
angles: 63.73 63.73 63.73
Last column: magnetic moment on the atom in μB.
Element x y z (fractional)
Mg1 0.000 0.000 0.000  0.00
Pa1 0.396 0.396 0.396  0.28
Pa2 0.604 0.604 0.604  0.28
Ga1 0.000 0.000 0.500  0.00
Ga2 0.500 0.000 0.000  0.00
Ga3 0.000 0.500 0.000  0.00

Calculated values
formation enthalpy at 0 K: -247.2 meV per atom

Record 16
The following is a PBE calculation of a geometry-optimized MgPa4Ga12 structure, from Alexandria.

abc: 7.551 7.551 7.551
angles: 109.47 109.47 109.47
Element x y z (fractional)
Mg1 0.000 0.000 0.000
Pa1 0.000 0.000 0.500
Pa2 0.500 0.000 0.000
Pa3 0.500 0.500 0.500
Pa4 0.000 0.500 0.000
Ga1 0.000 0.305 0.305
Ga2 0.000 0.695 0.695
Ga3 0.695 0.695 0.000
Ga4 0.305 0.305 0.000
Ga5 0.305 0.000 0.305
Ga6 0.695 0.000 0.695
Ga7 0.500 0.250 0.750
Ga8 0.500 0.750 0.250
Ga9 0.750 0.250 0.500
Ga10 0.250 0.750 0.500
Ga11 0.750 0.500 0.250
Ga12 0.250 0.500 0.750

Calculated values
formation enthalpy at 0 K: -346.9 meV per atom

Record 17
The following is a PBE calculation of a geometry-optimized MgPa2Ga structure, from Alexandria.

abc: 4.778 4.292 4.292
angles: 90.00 90.00 90.00
Element x y z (fractional)
Mg1 0.500 0.500 0.500
Pa1 0.000 0.000 0.500
Pa2 0.000 0.500 0.000
Ga1 0.500 0.000 0.000

Calculated values
formation enthalpy at 0 K: -15.8 meV per atom
energy above the lowest structure with this stoichiometry: 0.00 eV/f.u.

Record 18
The following is a PBE calculation of a geometry-optimized MgPa2Ga9 structure, from Alexandria.

abc: 4.283 4.283 12.620
angles: 90.00 90.00 90.00
Element x y z (fractional)
Mg1 0.000 0.000 0.000
Pa1 0.000 0.000 0.330
Pa2 0.000 0.000 0.670
Ga1 0.500 0.500 0.000
Ga2 0.500 0.500 0.338
Ga3 0.500 0.500 0.662
Ga4 0.500 0.000 0.157
Ga5 0.500 0.000 0.500
Ga6 0.500 0.000 0.843
Ga7 0.000 0.500 0.157
Ga8 0.000 0.500 0.500
Ga9 0.000 0.500 0.843

Calculated values
formation enthalpy at 0 K: -265.6 meV per atom

Record 19
The following is a PBE calculation of a geometry-optimized MgPa2Ga structure, from Alexandria.

abc: 3.093 3.093 11.730
angles: 82.42 82.42 60.00
Element x y z (fractional)
Mg1 0.000 0.000 0.000
Pa1 0.093 0.093 0.721
Pa2 0.907 0.907 0.279
Ga1 0.500 0.500 0.500

Calculated values
formation enthalpy at 0 K: 144.6 meV per atom
energy above the lowest structure with this stoichiometry: 0.64 eV/f.u.

Record 20
The following is a PBE calculation of a geometry-optimized MgPaGaPd structure, from Alexandria.

abc: 4.843 4.843 4.843
angles: 60.00 60.00 60.00
Element x y z (fractional)
Mg1 0.500 0.500 0.500
Pa1 0.000 0.000 0.000
Ga1 0.250 0.250 0.250
Pd1 0.750 0.750 0.750

Calculated values
formation enthalpy at 0 K: -382.0 meV per atom